Entry 1:
The following is a DFT calculation (PBE-GGA) of Pr3IrPd after structural relaxation.

a b c (Å): 8.0225 4.2736 16.2872
angles (deg): 90.00 90.00 90.00
Space group Pnma (No. 62)
Asymmetric unit:
Pr 0.0215 0.2500 0.0978 (multiplicity 4)
Pr 0.1330 0.7500 0.4385 (multiplicity 4)
Pr 0.1724 0.2500 0.7197 (multiplicity 4)
Ir 0.2432 0.7500 0.0435 (multiplicity 4)
Pd 0.1129 0.2500 0.2924 (multiplicity 4)

Output
ρ, g cm⁻³: 8.6
Crystal system: orthorhombic
Calculated formation energy, eV per atom: -0.6181
E above lowest polymorph, eV per formula unit: 0.00
DOS(E_F), states/eV/f.u.: 3.0

Entry 2:
The following is a DFT calculation (PBE-GGA) of PrIrPd after structural relaxation.

a b c (Å): 5.4649 5.4789 7.8291
angles (deg): 90.00 90.00 90.00
Space group Imma (No. 74)
Asymmetric unit:
Pr 0.0000 0.2500 0.1278 (multiplicity 4)
Ir 0.0000 0.0000 0.5000 (multiplicity 4)
Pd 0.2500 0.2500 0.7500 (multiplicity 4)

Output
ρ, g cm⁻³: 12.5
Crystal system: orthorhombic
Calculated formation energy, eV per atom: -0.6487
E above lowest polymorph, eV per formula unit: 0.00
DOS(E_F), states/eV/f.u.: 2.0